# SiOsNF2 | Alexandria | GGA-PBE | optimized geometry
data_SiOsNF2
_space_group_name_H-M_alt 'P 4/m m m'
_space_group_IT_number 123
_space_group_name_Hall '-P 4 2'
_cell_length_a 4.3073
_cell_length_b 4.3073
_cell_length_c 3.7573
_cell_angle_alpha 90.00
_cell_angle_beta 90.00
_cell_angle_gamma 90.00
loop_
_atom_site_label
_atom_site_type_symbol
_atom_site_fract_x
_atom_site_fract_y
_atom_site_fract_z
Si1 Si 0.0000 0.0000 0.0000
Os1 Os 0.5000 0.5000 0.5000
N1 N 0.5000 0.5000 0.0000
F1 F 0.0000 0.5000 0.5000
# energy relative to the elements, uncorrected: 0.10 eV/atom
# E: -5.6422 eV/atom
# volume: 13.94 A^3/atom
# magnetic moment: 0.00 μB/f.u.


# KHF2 | Alexandria | GGA-PBE | optimized geometry
data_KHF2
_space_group_name_H-M_alt 'P 63/m m c'
_space_group_IT_number 194
_space_group_name_Hall '-P 6c 2c'
_cell_length_a 4.0872
_cell_length_b 4.0872
_cell_length_c 9.7818
_cell_angle_alpha 90.00
_cell_angle_beta 90.00
_cell_angle_gamma 120.00
loop_
_atom_site_label
_atom_site_type_symbol
_atom_site_fract_x
_atom_site_fract_y
_atom_site_fract_z
K1 K 0.0000 0.0000 0.0000
H1 H 0.3333 0.6667 0.2500
F1 F 0.3333 0.6667 0.1324
# E: -4.3580 eV/atom
# volume: 17.69 A^3/atom
# magnetic moment: 0.11 μB/f.u.


# PrPa2Os | Alexandria | GGA-PBE | optimized geometry
data_PrPa2Os
_space_group_name_H-M_alt 'P 4/m m m'
_space_group_IT_number 123
_space_group_name_Hall '-P 4 2'
_cell_length_a 3.6135
_cell_length_b 3.6135
_cell_length_c 7.8253
_cell_angle_alpha 90.00
_cell_angle_beta 90.00
_cell_angle_gamma 90.00
loop_
_atom_site_label
_atom_site_type_symbol
_atom_site_fract_x
_atom_site_fract_y
_atom_site_fract_z
Pr1 Pr 0.0000 0.0000 0.0000
Pa1 Pa 0.5000 0.5000 0.3151
Os1 Os 0.0000 0.0000 0.5000
# energy of formation: 0.015 eV/atom
# E: -8.7357 eV/atom
# volume: 25.54 A^3/atom
# magnetic moment: 0.00 μB/f.u.


# Rh2C | Alexandria | GGA-PBE | optimized geometry
data_Rh2C
_space_group_name_H-M_alt 'P 6/m m m'
_space_group_IT_number 191
_space_group_name_Hall '-P 6 2'
_cell_length_a 4.1636
_cell_length_b 4.1636
_cell_length_c 2.6435
_cell_angle_alpha 90.00
_cell_angle_beta 90.00
_cell_angle_gamma 120.00
loop_
_atom_site_label
_atom_site_type_symbol
_atom_site_fract_x
_atom_site_fract_y
_atom_site_fract_z
Rh1 Rh 0.3333 0.6667 0.0000
C1 C 0.0000 0.0000 0.5000
# energy of formation: 1.960 eV/atom
# E: -6.0153 eV/atom
# volume: 13.23 A^3/atom
# magnetic moment: 0.00 μB/f.u.


# Li4MnCo | Alexandria | GGA-PBE | optimized geometry
data_Li4MnCo
_space_group_name_H-M_alt 'F -4 3 m'
_space_group_IT_number 216
_space_group_name_Hall 'F -4 2 3'
_cell_length_a 6.8684
_cell_length_b 6.8684
_cell_length_c 6.8684
_cell_angle_alpha 90.00
_cell_angle_beta 90.00
_cell_angle_gamma 90.00
loop_
_atom_site_label
_atom_site_type_symbol
_atom_site_fract_x
_atom_site_fract_y
_atom_site_fract_z
Li1 Li 0.1242 0.1242 0.1242
Mn1 Mn 0.0000 0.0000 0.5000
Co1 Co 0.2500 0.2500 0.7500
# energy of formation: 0.427 eV/atom
# E: -3.5619 eV/atom
# volume: 13.50 A^3/atom
# magnetic moment: 4.79 μB/f.u.


# Ac2Hg5Pd4 | Alexandria | GGA-PBE | optimized geometry
data_Ac2Hg5Pd4
_space_group_name_H-M_alt 'I m m m'
_space_group_IT_number 71
_space_group_name_Hall '-I 2 2'
_cell_length_a 5.8284
_cell_length_b 9.1980
_cell_length_c 9.6655
_cell_angle_alpha 90.00
_cell_angle_beta 90.00
_cell_angle_gamma 90.00
loop_
_atom_site_label
_atom_site_type_symbol
_atom_site_fract_x
_atom_site_fract_y
_atom_site_fract_z
Ac1 Ac 0.0000 0.0000 0.2264
Hg1 Hg 0.0000 0.5000 0.5000
Hg2 Hg 0.2468 0.3090 0.0000
Pd1 Pd 0.0000 0.3315 0.2567
# energy of formation: -0.434 eV/atom
# E: -3.2068 eV/atom
# volume: 23.55 A^3/atom
# magnetic moment: 0.00 μB/f.u.